(1)
The following is a PBE calculation of a relaxed structure of Ba2CaCl, from Alexandria via LeMat-Bulk.

Cell lengths 9.7707, 9.7707, 8.1672 Å; angles 53.26, 53.26, 90.00 degrees
Fractional positions:
Ca 0.0000 0.0000 0.0000
Ca 0.7500 0.2500 0.5000
Ba 0.5332 0.1250 0.2500
Ba 0.2168 0.6250 0.2500
Ba 0.3750 0.4668 0.7500
Ba 0.8750 0.7832 0.7500
Cl 0.5000 0.5000 0.0000
Cl 0.2500 0.7500 0.5000

Output
space-group type = No. 122
formation energy from raw total energies = -0.6839 eV per atom
energy relative to the lowest polymorph listed for this composition = 141.7 meV per atom

=====

(2)
The following is a PBE calculation of a relaxed structure of Ba2CaCl, from Alexandria via LeMat-Bulk.

Cell lengths 3.9799, 3.9799, 10.9240 Å; angles 90.00, 90.00, 90.00 degrees
Fractional positions:
Ca 0.5000 0.5000 0.2500
Ba 0.0000 0.0000 0.9561
Ba 0.0000 0.0000 0.5439
Cl 0.5000 0.5000 0.7500

Output
space-group type = No. 123
formation energy from raw total energies = -0.7371 eV per atom
energy relative to the lowest polymorph listed for this composition = 88.5 meV per atom

=====

(3)
The following is a PBE calculation of a relaxed structure of BaCa3Cl, from Alexandria via LeMat-Bulk.

Cell lengths 7.3055, 7.3055, 7.3055 Å; angles 90.00, 90.00, 90.00 degrees
Each line ends with the local moment (μB).
Fractional positions:
Ca 0.0000 0.5000 0.0000  0.08
Ca 0.0000 0.0000 0.5000  0.09
Ca 0.5000 0.0000 0.0000  0.04
Ba 0.0000 0.0000 0.0000  0.13
Cl 0.5000 0.5000 0.5000  -0.01

Output
space-group type = No. 221
formation energy from raw total energies = 0.6696 eV per atom
energy relative to the lowest polymorph listed for this composition = 1167.4 meV per atom

=====

(4)
The following is a PBE calculation of a relaxed structure of Ba2CaCl, from Alexandria via LeMat-Bulk.

Cell lengths 4.1655, 4.1655, 11.7468 Å; angles 90.00, 90.00, 118.53 degrees
Fractional positions:
Ca 0.0000 0.0000 0.5561
Ba 0.0000 0.0000 0.9490
Ba 0.5000 0.5000 0.2672
Cl 0.5000 0.5000 0.7277

Output
space-group type = No. 35
formation energy from raw total energies = -0.7617 eV per atom
energy relative to the lowest polymorph listed for this composition = 63.9 meV per atom

=====

(5)
The following is a PBE calculation of a relaxed structure of BaCaCl, from Alexandria via LeMat-Bulk.

Cell lengths 9.5200, 6.8965, 7.1672 Å; angles 90.00, 90.00, 90.00 degrees
Fractional positions:
Ca 0.0000 0.2500 0.3043
Ca 0.0000 0.7500 0.6957
Ca 0.5000 0.7500 0.8043
Ca 0.5000 0.2500 0.1957
Ba 0.2500 0.2500 0.7500
Ba 0.2500 0.7500 0.2500
Ba 0.7500 0.7500 0.2500
Ba 0.7500 0.2500 0.7500
Cl 0.0000 0.0000 0.0000
Cl 0.0000 0.5000 0.0000
Cl 0.5000 0.5000 0.5000
Cl 0.5000 0.0000 0.5000

Output
space-group type = No. 74
formation energy from raw total energies = -1.1403 eV per atom
energy relative to the lowest polymorph listed for this composition = 23.5 meV per atom

=====

(6)
The following is a PBE calculation of a relaxed structure of BaCaCl, from Alexandria via LeMat-Bulk.

Cell lengths 8.7532, 8.2937, 4.0624 Å; angles 82.61, 69.99, 27.40 degrees
Fractional positions:
Ca 0.3050 0.3050 0.6950
Ba 0.0158 0.0158 0.9842
Cl 0.6791 0.6791 0.3209

Output
space-group type = No. 42
formation energy from raw total energies = -1.0220 eV per atom
energy relative to the lowest polymorph listed for this composition = 141.9 meV per atom

=====

(7)
The following is a PBE calculation of a relaxed structure of Ba2CaCl, from Alexandria via LeMat-Bulk.

Cell lengths 4.3065, 4.3065, 11.5171 Å; angles 79.21, 79.21, 59.91 degrees
Fractional positions:
Ca 0.7500 0.7500 0.7500
Ba 0.9827 0.9827 0.0492
Ba 0.5173 0.5173 0.4508
Cl 0.2500 0.2500 0.2500

Output
space-group type = No. 12
formation energy from raw total energies = -0.8256 eV per atom
energy relative to the lowest polymorph listed for this composition = 0.0 meV per atom

=====

(8)
The following is a PBE calculation of a relaxed structure of Ba2CaCl, from Alexandria via LeMat-Bulk.

Cell lengths 4.3865, 4.3865, 10.5909 Å; angles 90.00, 90.00, 90.00 degrees
Fractional positions:
Ca 0.0000 0.0000 0.4885
Ba 0.0000 0.0000 0.8899
Ba 0.5000 0.5000 0.2201
Cl 0.5000 0.5000 0.9014

Output
space-group type = No. 99
formation energy from raw total energies = -0.7208 eV per atom
energy relative to the lowest polymorph listed for this composition = 104.7 meV per atom

=====

(9)
The following is a PBE calculation of a relaxed structure of BaCaCl4, from Alexandria via LeMat-Bulk.

Cell lengths 6.1842, 6.1842, 6.1842 Å; angles 60.00, 60.00, 60.00 degrees
Fractional positions:
Ba 0.7500 0.7500 0.7500
Ca 0.0000 0.0000 0.0000
Cl 0.8759 0.3747 0.3747
Cl 0.3747 0.3747 0.8759
Cl 0.3747 0.8759 0.3747
Cl 0.3747 0.3747 0.3747

Output
space-group type = No. 216
formation energy from raw total energies = -1.0673 eV per atom

=====

(10)
The following is a PBE calculation of a relaxed structure of Ba2CaCl, from Alexandria via LeMat-Bulk.

Cell lengths 6.5344, 4.7992, 6.5346 Å; angles 90.02, 90.00, 90.00 degrees
Fractional positions:
Ca 0.0000 0.5003 0.3750
Ba 0.0000 0.9994 0.8749
Ba 0.5000 0.0006 0.3750
Cl 0.5000 0.9997 0.8751

Output
space-group type = No. 123
formation energy from raw total energies = -0.6986 eV per atom
energy relative to the lowest polymorph listed for this composition = 127.0 meV per atom

=====

(11)
The following is a PBE calculation of a relaxed structure of Ba2CaCl, from Alexandria via LeMat-Bulk.

Cell lengths 4.1562, 4.3148, 11.0480 Å; angles 89.74, 90.00, 90.00 degrees
Fractional positions:
Ca 0.5000 0.2500 0.2500
Ba 0.0000 0.7537 0.9717
Ba 0.0000 0.7463 0.5283
Cl 0.5000 0.7500 0.7500

Output
space-group type = No. 10
formation energy from raw total energies = -0.7916 eV per atom
energy relative to the lowest polymorph listed for this composition = 33.9 meV per atom

=====

(12)
The following is a PBE calculation of a relaxed structure of Ba2CaCl, from Alexandria via LeMat-Bulk.

Cell lengths 7.6071, 7.6071, 7.6071 Å; angles 147.27, 119.63, 70.39 degrees
Fractional positions:
Ca 0.7500 0.2500 0.5000
Ba 0.0605 0.0605 0.0000
Ba 0.4395 0.4395 0.0000
Cl 0.2500 0.7500 0.5000

Output
space-group type = No. 71
formation energy from raw total energies = -0.6967 eV per atom
energy relative to the lowest polymorph listed for this composition = 128.9 meV per atom